DFT (GGA+U) results for a relaxed structure of VBiBrF2.

Lattice parameters (Å, degrees): 4.4849 4.4849 6.9058 90.00 90.00 90.00
With the nearest neighbours (Å) after each atom.
Space group P4/mmm (No. 123)
Inequivalent atoms, fractional coordinates:
1 V 0.0000 0.0000 0.0000 [1 per cell]  4 Br 3.17
2 Bi 0.5000 0.5000 0.5000 [1 per cell]  4 F 2.24
3 Br 0.5000 0.5000 0.0000 [1 per cell]  4 V 3.17, 2 Bi 3.45
4 F 0.0000 0.5000 0.5000 [2 per cell]  2 Bi 2.24

## Properties
total DFT energy (no corrections) = -4.1759 eV/atom
M_tot = 4.04 μB per cell
Fermi-level density of states = 1.4 states/eV/f.u.